VASP calculation (PBE) on CeNdF after structural relaxation.

Structure (POSCAR):
```
CeNdF
1.0
7.249 -1.784 0.000
7.249 1.784 0.000
-0.384 0.000 5.184
Ce Nd F
2 2 2
direct
0.043 0.043 0.250 Ce
0.957 0.957 0.750 Ce
0.324 0.324 0.219 Nd
0.676 0.676 0.781 Nd
0.312 0.312 0.697 F
0.688 0.688 0.303 F
```

Summary:
- formation energy without anion corrections (eV per atom) = -1.5301
- ρ (g/cm3) = 7.51
- space-group type = No. 12
- density of states at the Fermi level (states/eV/cell) = 7.65